Version P
# CaTe2HI PBE optimized geometry
# SG = P4/mmm
data_CaTe2HI
_chemical_formula_sum 'Ca1 Te2 H1 I1'
_cell_length_a 6.176
_cell_length_b 6.176
_cell_length_c 6.137
_cell_angle_alpha 90.00
_cell_angle_beta 90.00
_cell_angle_gamma 90.00
_symmetry_space_group_name_H-M 'P 1'
_symmetry_Int_Tables_number 1
_symmetry_space_group_name_Hall 'P 1'
loop_
_atom_site_label
_atom_site_type_symbol
_atom_site_fract_x
_atom_site_fract_y
_atom_site_fract_z
Ca1 Ca 0.000 0.000 0.000
H1 H 0.500 0.500 0.500
I1 I 0.000 0.000 0.500
Te1 Te 0.000 0.500 0.000
Te2 Te 0.500 0.000 0.000

Version Q
# CaTe2HI PBE optimized geometry
# SG = P4/mmm
data_CaTe2HI
_chemical_formula_sum 'Ca1 Te2 H1 I1'
_cell_length_a 4.552
_cell_length_b 4.552
_cell_length_c 6.500
_cell_angle_alpha 90.00
_cell_angle_beta 90.00
_cell_angle_gamma 90.00
_symmetry_space_group_name_H-M 'P 1'
_symmetry_Int_Tables_number 1
_symmetry_space_group_name_Hall 'P 1'
loop_
_atom_site_label
_atom_site_type_symbol
_atom_site_fract_x
_atom_site_fract_y
_atom_site_fract_z
H1 H 0.000 0.000 0.000
Te1 Te 0.500 0.000 0.000
Ca1 Ca 0.500 0.500 0.500
I1 I 0.000 0.000 0.500
Te2 Te 0.000 0.500 0.000

Stability order, top to bottom: version Q, version P

Version P
# Ca2InH2 PBE optimized geometry
# SG = P4/mbm
data_Ca2InH2
_chemical_formula_sum 'Ca4 In2 H4'
_cell_length_a 7.719
_cell_length_b 7.719
_cell_length_c 3.163
_cell_angle_alpha 90.00
_cell_angle_beta 90.00
_cell_angle_gamma 90.00
_symmetry_space_group_name_H-M 'P 1'
_symmetry_Int_Tables_number 1
_symmetry_space_group_name_Hall 'P 1'
loop_
_atom_site_label
_atom_site_type_symbol
_atom_site_fract_x
_atom_site_fract_y
_atom_site_fract_z
Ca1 Ca 0.648 0.852 0.500
In1 In 0.500 0.500 0.000
H1 H 0.096 0.404 0.000
Ca2 Ca 0.352 0.148 0.500
H2 H 0.596 0.096 0.000
H3 H 0.904 0.596 0.000
In2 In 0.000 0.000 0.000
H4 H 0.404 0.904 0.000
Ca3 Ca 0.148 0.648 0.500
Ca4 Ca 0.852 0.352 0.500

Version Q
# Ca2InH2 PBE optimized geometry
# SG = I4/mmm
data_Ca2InH2
_chemical_formula_sum 'Ca2 In1 H2'
_cell_length_a 3.659
_cell_length_b 3.659
_cell_length_c 7.758
_cell_angle_alpha 76.36
_cell_angle_beta 76.36
_cell_angle_gamma 90.00
_symmetry_space_group_name_H-M 'P 1'
_symmetry_Int_Tables_number 1
_symmetry_space_group_name_Hall 'P 1'
loop_
_atom_site_label
_atom_site_type_symbol
_atom_site_fract_x
_atom_site_fract_y
_atom_site_fract_z
Ca1 Ca 0.660 0.660 0.679
In1 In 0.000 0.000 0.000
Ca2 Ca 0.340 0.340 0.321
H1 H 0.750 0.250 0.500
H2 H 0.250 0.750 0.500

Stability order, top to bottom: version Q, version P